# SmGeB | Alexandria | PBE-GGA | relaxed
# - Magnetic moment: 0.00 μB per formula unit
# - Energy above the lowest structure with this stoichiometry: 95 meV/atom
data_SmGeB
_chemical_formula_sum 'Sm2 Ge2 B2'
_symmetry_space_group_name_H-M 'P 1 21/m 1'
_symmetry_Int_Tables_number 11
_cell_length_a 4.294
_cell_length_b 3.637
_cell_length_c 6.551
_cell_angle_alpha 90.00
_cell_angle_beta 91.62
_cell_angle_gamma 90.00
loop_
_symmetry_equiv_pos_as_xyz
'x,y,z'
'-x,-y,-z'
'-x,y+1/2,-z'
'x,-y+1/2,z'
loop_
_atom_site_label
_atom_site_type_symbol
_atom_site_fract_x
_atom_site_fract_y
_atom_site_fract_z
Sm1 Sm 0.023 0.250 0.228
Ge1 Ge 0.448 0.250 0.617
B1 B 0.494 0.750 0.051